ErHfTlIn, optimized geometry, DFT PBE; Fermi-level density of states = 0.757 states/eV/atom; total magnetization = 0.0 μB/f.u.; space group = No. 216; energy of formation = -0.0720 eV per atom
1.0
0.000 3.645 3.645
3.645 0.000 3.645
3.645 3.645 0.000
Er Hf Tl In
1 1 1 1
direct
0.000 0.000 0.000
0.500 0.500 0.500
0.250 0.250 0.250
0.750 0.750 0.750

***

SrMgPt2O8, optimized geometry, DFT PBE; Fermi-level density of states = 0.016 states/eV/atom; uncorrected formation energy = -791 meV per atom; total magnetization = 0.0 μB/f.u.; space group = No. 147
1.0
5.415 0.000 0.000
-2.707 4.689 0.000
0.000 0.000 6.337
Sr Mg Pt O
1 1 2 8
direct
0.000 0.000 0.000
0.000 0.000 0.500
0.333 0.667 0.450
0.667 0.333 0.550
0.054 0.364 0.646
0.310 0.946 0.646
0.333 0.667 0.142
0.364 0.310 0.354
0.636 0.690 0.646
0.667 0.333 0.858
0.690 0.054 0.354
0.946 0.636 0.354

***

Er4BiC, optimized geometry, DFT PBE; excess energy over the best structure of this formula in the dataset = 0 meV/atom; Fermi-level density of states = 0.730 states/eV/atom; total magnetization = 0.0 μB/f.u.; space group = No. 15; energy of formation = -0.2391 eV per atom
1.0
4.194 -5.794 0.000
4.194 5.794 0.000
-1.597 0.000 6.150
Er Bi C
8 2 2
direct
0.038 0.769 0.949
0.186 0.408 0.614
0.231 0.962 0.551
0.408 0.186 0.114
0.592 0.814 0.886
0.769 0.038 0.449
0.814 0.592 0.386
0.962 0.231 0.051
0.368 0.632 0.250
0.632 0.368 0.750
0.011 0.989 0.250
0.989 0.011 0.750

***

NiMo2Pd6, optimized geometry, DFT PBE; excess energy over the best structure of this formula in the dataset = 53 meV/atom; Fermi-level density of states = 1.144 states/eV/atom; total magnetization = 0.6 μB/f.u.; space group = No. 12; energy of formation = -0.0114 eV per atom
1.0
4.387 -1.946 0.000
4.387 1.946 0.000
-2.516 0.000 7.916
Ni Mo Pd
1 2 6
direct
0.000 0.000 0.000
0.319 0.319 0.438
0.681 0.681 0.562
0.001 0.001 0.665
0.331 0.331 0.110
0.336 0.336 0.779
0.664 0.664 0.221
0.669 0.669 0.890
0.999 0.999 0.335

***

YTm3Hg12, optimized geometry, DFT PBE; Fermi-level density of states = 0.662 states/eV/atom; total magnetization = 0.0 μB/f.u.; space group = No. 123; energy of formation = -0.2854 eV per atom
1.0
4.451 0.000 0.000
0.000 4.451 0.000
0.000 0.000 19.530
Y Tm Hg
1 3 12
direct
0.000 0.000 0.000
0.000 0.000 0.251
0.000 0.000 0.500
0.000 0.000 0.749
0.000 0.500 0.127
0.000 0.500 0.375
0.000 0.500 0.625
0.000 0.500 0.873
0.500 0.000 0.127
0.500 0.000 0.375
0.500 0.000 0.625
0.500 0.000 0.873
0.500 0.500 0.000
0.500 0.500 0.251
0.500 0.500 0.500
0.500 0.500 0.749